## Y2SiPbO6 (PBE)

Data for an optimized crystal structure of Y2SiPbO6.

```
data_Y2SiPbO6
_cell_length_a 5.321
_cell_length_b 5.321
_cell_length_c 5.360
_cell_angle_alpha 90.00
_cell_angle_beta 90.00
_cell_angle_gamma 90.00
_symmetry_space_group_name_H-M 'P 4 m m'
_symmetry_Int_Tables_number 99
_symmetry_space_group_name_Hall 'P 4 -2'
loop_
_atom_site_label
_atom_site_type_symbol
_atom_site_fract_x
_atom_site_fract_y
_atom_site_fract_z
_atom_site_occupancy
Y1 Y 0.000 0.500 0.000 1
Si1 Si 0.000 0.000 0.655 1
Pb1 Pb 0.500 0.500 0.549 1
O1 O 0.000 0.000 0.344 1
O2 O 0.220 0.220 0.772 1
O3 O 0.500 0.500 0.111 1
```

Calculated values
**E_tot**: -7.685 eV/atom
**Calculated volume**: 151.74 Å³ per cell

***

## Ce4Ge3Cl (PBE)

Data for an optimized crystal structure of Ce4Ge3Cl.

```
data_Ce4Ge3Cl
_cell_length_a 5.948
_cell_length_b 5.948
_cell_length_c 11.923
_cell_angle_alpha 90.00
_cell_angle_beta 90.00
_cell_angle_gamma 90.00
_symmetry_space_group_name_H-M 'I 4/m m m'
_symmetry_Int_Tables_number 139
_symmetry_space_group_name_Hall '-I 4 2'
loop_
_atom_site_label
_atom_site_type_symbol
_atom_site_fract_x
_atom_site_fract_y
_atom_site_fract_z
_atom_site_occupancy
Ce1 Ce 0.000 0.000 0.249 1
Ce2 Ce 0.000 0.500 0.000 1
Ge1 Ge 0.000 0.000 0.000 1
Ge2 Ge 0.000 0.500 0.250 1
Cl1 Cl 0.000 0.000 0.500 1
```

Calculated values
**E_tot**: -5.883 eV/atom
**Calculated volume**: 421.87 Å³ per cell